BaCu2P2H2O9 | GGA-PBE | optimized geometry

The structure in CIF format:
```
data_BaCu2P2H2O9
_space_group_name_H-M_alt 'P 21 21 21'
_space_group_IT_number 19
_cell_length_a 5.223
_cell_length_b 9.859
_cell_length_c 14.938
_cell_angle_alpha 90.00
_cell_angle_beta 90.00
_cell_angle_gamma 90.00
loop_
_space_group_symop_operation_xyz
'x,y,z'
'-x+1/2,-y,z+1/2'
'x+1/2,-y+1/2,-z'
'-x,y+1/2,-z+1/2'
loop_
_atom_site_label
_atom_site_fract_x
_atom_site_fract_y
_atom_site_fract_z
Ba1 0.008 0.027 0.464
Cu1 0.024 0.758 0.261
Cu2 0.104 0.981 0.718
P1 0.015 0.769 0.864
P2 0.024 0.692 0.623
H1 0.013 0.085 0.085
H2 0.142 0.486 0.353
O1 0.005 0.348 0.878
O2 0.011 0.045 0.146
O3 0.023 0.128 0.969
O4 0.057 0.816 0.960
O5 0.060 0.613 0.860
O6 0.184 0.129 0.809
O7 0.205 0.351 0.157
O8 0.223 0.839 0.800
O9 0.244 0.688 0.168
```

**Crystal system**: orthorhombic
**Uncorrected energy**: -6.2906 eV per atom
**Calculated density**: 4.08 g/cm3
**Total magnetic moment**: 2.012 μB per formula unit